## CuTc2 (PBE)

Data for crystalline CuTc2 at its relaxed geometry.

Unit cell a=4.7280 b=4.7280 c=4.7280 alpha=141.08 beta=141.08 gamma=56.22
Fractional positions:
Cu 0.0000 0.0000 0.0000
Tc 0.3319 0.3319 0.0000
Tc 0.6681 0.6681 0.0000

Computed properties:
**DOS at the Fermi energy**: 2.513 states/eV/cell
**DFT formation energy**: 15 kJ per mole of atoms
**Energy above the most stable polymorph in this dataset**: 0.0678 eV per atom
**SG**: I4/mmm (139)